# 1
A relaxed Na3TlRe crystal. Source: the Alexandria database, functional PBE.

Lattice parameters (Å, degrees): 5.7784 5.7784 5.7784 90.00 90.00 90.00
Closest atoms and distances in Å follow each position.
Space group Pm-3m (No. 221)
Asymmetric unit:
Na 0.0000 0.0000 0.5000  2 Re 2.89
Tl 0.5000 0.5000 0.5000  12 Na 4.09
Re 0.0000 0.0000 0.0000  6 Na 2.89

=====

# 2
A relaxed Na2TlRe crystal. Source: the Alexandria database, functional PBE.

Lattice parameters (Å, degrees): 7.1921 7.1921 7.1921 90.00 90.00 90.00
Closest atoms and distances in Å follow each position.
Space group Fm-3m (No. 225)
Asymmetric unit:
Na 0.2500 0.2500 0.2500  4 Tl 3.11, 4 Re 3.11
Tl 0.0000 0.0000 0.0000  8 Na 3.11
Re 0.0000 0.0000 0.5000  8 Na 3.11

=====

# 3
A relaxed NaVRe2 crystal. Source: the Alexandria database, functional PBE.

Lattice parameters (Å, degrees): 3.8448 3.8448 19.2254 90.00 90.00 90.00
Closest atoms and distances in Å follow each position.
Space group I-42d (No. 122)
Asymmetric unit:
Na 0.0000 0.0000 0.0000  4 V 2.72, 4 Re 2.84
V 0.0000 0.0000 0.5000  4 Re 2.69, 4 Na 2.72
Re 0.1932 0.2500 0.6250  2 Re 2.43, 2 V 2.69

=====

# 4
A relaxed Na2V2Re crystal. Source: the Alexandria database, functional PBE.

Lattice parameters (Å, degrees): 3.0486 3.0486 21.9341 90.00 90.00 90.00
Closest atoms and distances in Å follow each position.
Space group I4/mmm (No. 139)
Asymmetric unit:
Na 0.0000 0.0000 0.1112  4 Na 3.05, 4 Re 3.25, 4 V 3.41
V 0.0000 0.5000 0.2500  4 V 2.16
Re 0.0000 0.0000 0.5000  4 Re 3.05, 8 Na 3.25

=====

Results for VASP energy: -2.391; -3.182; -7.586; -5.363 (in eV per atom, following the order of the records).